(1)
## BeIn2Ag (SCAN)

Data for a crystal of BeIn2Ag relaxed with PBEsol.

Geometry as CIF:
```
data_BeIn2Ag
_chemical_formula_sum 'Be2 In4 Ag2'
_cell_length_a 5.7491
_cell_length_b 8.1432
_cell_length_c 3.1245
_cell_angle_alpha 90.00
_cell_angle_beta 90.00
_cell_angle_gamma 90.00
_symmetry_space_group_name_H-M 'C m m m'
_symmetry_Int_Tables_number 65
_symmetry_space_group_name_Hall '-C 2 2'
loop_
_atom_site_label
_atom_site_type_symbol
_atom_site_fract_x
_atom_site_fract_y
_atom_site_fract_z
Be1 Be 0.0000 0.0000 0.0000
In1 In 0.2500 0.2500 0.5000
Ag1 Ag 0.0000 0.5000 0.0000
```

Summary:
The energy of formation from the pure elements comes out at 328.9 meV per atom. The raw total energy is -25.294 eV/atom.

(2)
## BeIn3Ag (SCAN)

Data for a crystal of BeIn3Ag relaxed with PBEsol.

Geometry as CIF:
```
data_BeIn3Ag
_chemical_formula_sum 'Be1 In3 Ag1'
_cell_length_a 4.8126
_cell_length_b 4.8126
_cell_length_c 4.8126
_cell_angle_alpha 90.00
_cell_angle_beta 90.00
_cell_angle_gamma 90.00
_symmetry_space_group_name_H-M 'P m -3 m'
_symmetry_Int_Tables_number 221
_symmetry_space_group_name_Hall '-P 4 2 3'
loop_
_atom_site_label
_atom_site_type_symbol
_atom_site_fract_x
_atom_site_fract_y
_atom_site_fract_z
Be1 Be 0.0000 0.0000 0.0000
In1 In 0.0000 0.0000 0.5000
Ag1 Ag 0.5000 0.5000 0.5000
```

Summary:
The energy of formation from the pure elements comes out at 382.5 meV per atom. The raw total energy is -26.793 eV/atom.

(3)
## Be2InAg (SCAN)

Data for a crystal of Be2InAg relaxed with PBEsol.

Geometry as CIF:
```
data_Be2InAg
_chemical_formula_sum 'Be4 In2 Ag2'
_cell_length_a 5.4173
_cell_length_b 8.4233
_cell_length_c 3.0163
_cell_angle_alpha 90.00
_cell_angle_beta 118.07
_cell_angle_gamma 90.00
_symmetry_space_group_name_H-M 'C 1 2/m 1'
_symmetry_Int_Tables_number 12
loop_
_symmetry_equiv_pos_as_xyz
'x,y,z'
'-x,-y,-z'
'-x,y,-z'
'x,-y,z'
'x+1/2,y+1/2,z'
'-x+1/2,-y+1/2,-z'
'-x+1/2,y+1/2,-z'
'x+1/2,-y+1/2,z'
loop_
_atom_site_label
_atom_site_type_symbol
_atom_site_fract_x
_atom_site_fract_y
_atom_site_fract_z
Be1 Be 0.2500 0.2500 0.0000
In1 In 0.0000 0.0000 0.0000
Ag1 Ag 0.0000 0.5000 0.0000
```

Summary:
The energy of formation from the pure elements comes out at 425.1 meV per atom. The raw total energy is -17.940 eV/atom.

(4)
## BeIn2Ag (SCAN)

Data for a crystal of BeIn2Ag relaxed with PBEsol.

Geometry as CIF:
```
data_BeIn2Ag
_chemical_formula_sum 'Be1 In2 Ag1'
_cell_length_a 2.9367
_cell_length_b 3.0843
_cell_length_c 8.2133
_cell_angle_alpha 90.00
_cell_angle_beta 90.00
_cell_angle_gamma 90.00
_symmetry_space_group_name_H-M 'P m m 2'
_symmetry_Int_Tables_number 25
loop_
_symmetry_equiv_pos_as_xyz
'x,y,z'
'-x,-y,z'
'-x,y,z'
'x,-y,z'
loop_
_atom_site_label
_atom_site_type_symbol
_atom_site_fract_x
_atom_site_fract_y
_atom_site_fract_z
Be1 Be 0.0000 0.0000 0.0000
In1 In 0.0000 0.0000 0.5733
In2 In 0.5000 0.5000 0.2325
Ag1 Ag 0.5000 0.5000 0.8474
```

Summary:
The energy of formation from the pure elements comes out at 196.0 meV per atom. The raw total energy is -25.427 eV/atom.

(5)
## Be2InAg (SCAN)

Data for a crystal of Be2InAg relaxed with PBEsol.

Geometry as CIF:
```
data_Be2InAg
_chemical_formula_sum 'Be4 In2 Ag2'
_cell_length_a 7.1700
_cell_length_b 4.0496
_cell_length_c 4.4644
_cell_angle_alpha 90.00
_cell_angle_beta 107.67
_cell_angle_gamma 90.00
_symmetry_space_group_name_H-M 'C 1 2/m 1'
_symmetry_Int_Tables_number 12
loop_
_symmetry_equiv_pos_as_xyz
'x,y,z'
'-x,-y,-z'
'-x,y,-z'
'x,-y,z'
'x+1/2,y+1/2,z'
'-x+1/2,-y+1/2,-z'
'-x+1/2,y+1/2,-z'
'x+1/2,-y+1/2,z'
loop_
_atom_site_label
_atom_site_type_symbol
_atom_site_fract_x
_atom_site_fract_y
_atom_site_fract_z
Be1 Be 0.1886 0.0000 0.0763
In1 In 0.0000 0.0000 0.5000
Ag1 Ag 0.0000 0.5000 0.0000
```

Summary:
The energy of formation from the pure elements comes out at 260.3 meV per atom. The raw total energy is -18.105 eV/atom.

(6)
## BeIn2Ag (SCAN)

Data for a crystal of BeIn2Ag relaxed with PBEsol.

Geometry as CIF:
```
data_BeIn2Ag
_chemical_formula_sum 'Be1 In2 Ag1'
_cell_length_a 4.2470
_cell_length_b 4.2470
_cell_length_c 4.0568
_cell_angle_alpha 90.00
_cell_angle_beta 90.00
_cell_angle_gamma 90.00
_symmetry_space_group_name_H-M 'P 4/m m m'
_symmetry_Int_Tables_number 123
_symmetry_space_group_name_Hall '-P 4 2'
loop_
_atom_site_label
_atom_site_type_symbol
_atom_site_fract_x
_atom_site_fract_y
_atom_site_fract_z
Be1 Be 0.0000 0.0000 0.0000
In1 In 0.0000 0.5000 0.5000
Ag1 Ag 0.5000 0.5000 0.0000
```

Summary:
The energy of formation from the pure elements comes out at 343.4 meV per atom. The raw total energy is -25.280 eV/atom.

(7)
## Be2InAgP (SCAN)

Data for a crystal of Be2InAgP relaxed with PBEsol.

Geometry as CIF:
```
data_Be2InAgP
_chemical_formula_sum 'Be2 In1 Ag1 P1'
_cell_length_a 3.9679
_cell_length_b 3.9679
_cell_length_c 5.9053
_cell_angle_alpha 90.00
_cell_angle_beta 90.00
_cell_angle_gamma 90.00
_symmetry_space_group_name_H-M 'P 4/m m m'
_symmetry_Int_Tables_number 123
_symmetry_space_group_name_Hall '-P 4 2'
loop_
_atom_site_label
_atom_site_type_symbol
_atom_site_fract_x
_atom_site_fract_y
_atom_site_fract_z
Be1 Be 0.0000 0.5000 0.0000
In1 In 0.0000 0.0000 0.5000
Ag1 Ag 0.5000 0.5000 0.5000
P1 P 0.0000 0.0000 0.0000
```

Summary:
The energy of formation from the pure elements comes out at 491.1 meV per atom. The raw total energy is -16.281 eV/atom.

(8)
## BeAgIr2 (SCAN)

Data for a crystal of BeAgIr2 relaxed with PBEsol.

Geometry as CIF:
```
data_BeAgIr2
_chemical_formula_sum 'Be1 Ag1 Ir2'
_cell_length_a 2.7402
_cell_length_b 3.9039
_cell_length_c 5.1924
_cell_angle_alpha 90.00
_cell_angle_beta 103.88
_cell_angle_gamma 90.00
_symmetry_space_group_name_H-M 'P 1 2/m 1'
_symmetry_Int_Tables_number 10
loop_
_symmetry_equiv_pos_as_xyz
'x,y,z'
'-x,-y,-z'
'-x,y,-z'
'x,-y,z'
loop_
_atom_site_label
_atom_site_type_symbol
_atom_site_fract_x
_atom_site_fract_y
_atom_site_fract_z
Be1 Be 0.0000 0.0000 0.0000
Ag1 Ag 0.0000 0.0000 0.5000
Ir1 Ir 0.3615 0.5000 0.2192
```

Summary:
The energy of formation from the pure elements comes out at 70.0 meV per atom. The raw total energy is -44.410 eV/atom.

(9)
## BeAgIr (SCAN)

Data for a crystal of BeAgIr relaxed with PBEsol.

Geometry as CIF:
```
data_BeAgIr
_chemical_formula_sum 'Be4 Ag4 Ir4'
_cell_length_a 5.7931
_cell_length_b 5.7931
_cell_length_c 5.7931
_cell_angle_alpha 90.00
_cell_angle_beta 90.00
_cell_angle_gamma 90.00
_symmetry_space_group_name_H-M 'F -4 3 m'
_symmetry_Int_Tables_number 216
_symmetry_space_group_name_Hall 'F -4 2 3'
loop_
_atom_site_label
_atom_site_type_symbol
_atom_site_fract_x
_atom_site_fract_y
_atom_site_fract_z
Be1 Be 0.0000 0.0000 0.0000
Ag1 Ag 0.0000 0.0000 0.5000
Ir1 Ir 0.2500 0.2500 0.7500
```

Summary:
The energy of formation from the pure elements comes out at 758.6 meV per atom. The raw total energy is -34.848 eV/atom.

(10)
## BeAgIr2 (SCAN)

Data for a crystal of BeAgIr2 relaxed with PBEsol.

Geometry as CIF:
```
data_BeAgIr2
_chemical_formula_sum 'Be1 Ag1 Ir2'
_cell_length_a 3.8159
_cell_length_b 3.8159
_cell_length_c 3.7102
_cell_angle_alpha 90.00
_cell_angle_beta 90.00
_cell_angle_gamma 90.00
_symmetry_space_group_name_H-M 'P 4/m m m'
_symmetry_Int_Tables_number 123
_symmetry_space_group_name_Hall '-P 4 2'
loop_
_atom_site_label
_atom_site_type_symbol
_atom_site_fract_x
_atom_site_fract_y
_atom_site_fract_z
Be1 Be 0.0000 0.0000 0.0000
Ag1 Ag 0.5000 0.5000 0.0000
Ir1 Ir 0.0000 0.5000 0.5000
```

Summary:
The energy of formation from the pure elements comes out at 324.9 meV per atom. The raw total energy is -44.155 eV/atom.

(11)
## Be2AgIr (SCAN)

Data for a crystal of Be2AgIr relaxed with PBEsol.

Geometry as CIF:
```
data_Be2AgIr
_chemical_formula_sum 'Be4 Ag2 Ir2'
_cell_length_a 2.7823
_cell_length_b 4.4933
_cell_length_c 8.0239
_cell_angle_alpha 90.00
_cell_angle_beta 90.00
_cell_angle_gamma 90.00
_symmetry_space_group_name_H-M 'C m m 2'
_symmetry_Int_Tables_number 35
loop_
_symmetry_equiv_pos_as_xyz
'x,y,z'
'-x,-y,z'
'-x,y,z'
'x,-y,z'
'x+1/2,y+1/2,z'
'-x+1/2,-y+1/2,z'
'-x+1/2,y+1/2,z'
'x+1/2,-y+1/2,z'
loop_
_atom_site_label
_atom_site_type_symbol
_atom_site_fract_x
_atom_site_fract_y
_atom_site_fract_z
Be1 Be 0.0000 0.0000 0.0000
Be2 Be 0.0000 0.5000 0.2238
Ag1 Ag 0.0000 0.0000 0.4717
Ir1 Ir 0.0000 0.5000 0.7815
```

Summary:
The energy of formation from the pure elements comes out at 140.3 meV per atom. The raw total energy is -27.653 eV/atom.

(12)
## Be2AgIr (SCAN)

Data for a crystal of Be2AgIr relaxed with PBEsol.

Geometry as CIF:
```
data_Be2AgIr
_chemical_formula_sum 'Be2 Ag1 Ir1'
_cell_length_a 3.9934
_cell_length_b 3.9934
_cell_length_c 2.8374
_cell_angle_alpha 90.00
_cell_angle_beta 90.00
_cell_angle_gamma 90.00
_symmetry_space_group_name_H-M 'P 4/m m m'
_symmetry_Int_Tables_number 123
_symmetry_space_group_name_Hall '-P 4 2'
loop_
_atom_site_label
_atom_site_type_symbol
_atom_site_fract_x
_atom_site_fract_y
_atom_site_fract_z
Be1 Be 0.0000 0.5000 0.0000
Ag1 Ag 0.0000 0.0000 0.5000
Ir1 Ir 0.5000 0.5000 0.5000
```

Summary:
The energy of formation from the pure elements comes out at -368.9 meV per atom. The raw total energy is -28.162 eV/atom.

Question: Which value of energy of formation from the pure elements does entry 9 give?
Answer: 758.6 meV per atom

Question: Look up the energy of formation from the pure elements of the sixth one.
Answer: 343.4 meV per atom